CaCuS3 (PBE, relaxed); total moment = 0.00 μB per cell; electronic total energy = -4.1704 eV per atom; mass density = 3.44 g/cm3
1.0
4.588 0.000 0.000
0.000 4.588 0.000
0.000 0.000 4.588
Ca Cu S
1 1 3
direct
0.000 0.000 0.000
0.500 0.500 0.500
0.000 0.500 0.500
0.500 0.000 0.500
0.500 0.500 0.000

MgTe2Pt (PBE, relaxed); total moment = 0.00 μB per cell; electronic total energy = -3.5715 eV per atom; mass density = 8.34 g/cm3
1.0
3.947 0.000 0.000
0.000 4.055 0.000
0.000 0.000 5.906
Mg Te Pt
1 2 1
direct
0.000 0.000 0.000
0.000 0.500 0.500
0.500 0.500 0.000
0.500 0.000 0.500

Rb5HAu3 (PBE, relaxed); total moment = 0.00 μB per cell; electronic total energy = -2.2242 eV per atom; mass density = 4.94 g/cm3
1.0
-4.494 4.494 8.488
4.494 -4.494 8.488
4.494 4.494 -8.488
Rb H Au
10 2 6
direct
0.000 0.000 0.000
0.022 0.522 0.835
0.187 0.022 0.500
0.313 0.813 0.835
0.478 0.313 0.500
0.500 0.500 0.000
0.522 0.687 0.500
0.687 0.187 0.165
0.813 0.978 0.500
0.978 0.478 0.165
0.250 0.750 0.500
0.750 0.250 0.500
0.115 0.385 0.500
0.250 0.250 0.000
0.385 0.885 0.270
0.615 0.115 0.730
0.750 0.750 0.000
0.885 0.615 0.500

mass density of number 1 (CaCuS3)?
3.44 g/cm3

Which of these has the lowest mass density?
CaCuS3

Which formula does entry 3 have?
Rb5HAu3